Below is an optimized crystal structure of Ac6GaIr2Cl3, with properties calculated at the PBE level.

It has space group C2/m (No. 12), with a = 20.3781 Å, b = 4.3816 Å, c = 9.4214 Å, α = 90.00°, β = 107.40° and γ = 90.00°. The asymmetric unit holds Ac at (0.0164, 0.0000, 0.2503), Ac at (0.1618, 0.5000, 0.1189), Ac at (0.1797, 0.5000, 0.5603), Ga at (0.0000, 0.5000, 0.0000), Ir at (0.1679, 0.0000, 0.3392), Cl at (0.0000, 0.5000, 0.5000) and Cl at (0.1628, 0.0000, 0.8462).

For the raw total energy, the calculation gives -5.425 eV per atom.